1.
A relaxed structure of Ho2SnSb. Source: Alexandria, functional GGA-PBE.

**Size of the total moment**: 0.000 μB/atom
**Formation energy without anion corrections**: -0.90 eV/atom
**Space-group type**: Cmcm (63)
**Volume**: 113.8 Å³/f.u.
**D(E_F)**: 1.41 states/eV/f.u.

```
data_Ho2SnSb
_cell_length_a 4.4499
_cell_length_b 23.7208
_cell_length_c 4.3118
_cell_angle_alpha 90.00
_cell_angle_beta 90.00
_cell_angle_gamma 90.00
_symmetry_space_group_name_H-M 'P 1'
_symmetry_Int_Tables_number 1
loop_
_symmetry_equiv_pos_as_xyz
'x,y,z'
loop_
_atom_site_label
_atom_site_fract_x
_atom_site_fract_y
_atom_site_fract_z
_atom_site_occupancy
Ho1 0.0000 0.0624 0.2500 1
Ho2 0.0000 0.3165 0.2500 1
Ho3 0.0000 0.6835 0.7500 1
Ho4 0.0000 0.9376 0.7500 1
Ho5 0.5000 0.1835 0.7500 1
Ho6 0.5000 0.4376 0.7500 1
Ho7 0.5000 0.5624 0.2500 1
Ho8 0.5000 0.8165 0.2500 1
Sn1 0.0000 0.4531 0.2500 1
Sn2 0.0000 0.5469 0.7500 1
Sn3 0.5000 0.0469 0.7500 1
Sn4 0.5000 0.9531 0.2500 1
Sb1 0.0000 0.1881 0.2500 1
Sb2 0.0000 0.8119 0.7500 1
Sb3 0.5000 0.3119 0.7500 1
Sb4 0.5000 0.6881 0.2500 1
```

2.
A relaxed structure of KGeBr3. Source: Alexandria, functional GGA-PBE.

**Size of the total moment**: 0.000 μB/atom
**Formation energy without anion corrections**: -0.89 eV/atom
**Space-group type**: Cmcm (63)
**Volume**: 285.6 Å³/f.u.
**D(E_F)**: 0.00 states/eV/f.u.

```
data_KGeBr3
_cell_length_a 10.5723
_cell_length_b 10.5723
_cell_length_c 7.3931
_cell_angle_alpha 90.00
_cell_angle_beta 90.00
_cell_angle_gamma 136.27
_symmetry_space_group_name_H-M 'P 1'
_symmetry_Int_Tables_number 1
loop_
_symmetry_equiv_pos_as_xyz
'x,y,z'
loop_
_atom_site_label
_atom_site_fract_x
_atom_site_fract_y
_atom_site_fract_z
_atom_site_occupancy
K1 0.1897 0.8103 0.7500 1
K2 0.8103 0.1897 0.2500 1
Ge1 0.4012 0.5988 0.7500 1
Ge2 0.5988 0.4012 0.2500 1
Br1 0.0560 0.4224 0.7500 1
Br2 0.4224 0.0560 0.2500 1
Br3 0.5000 0.5000 0.0000 1
Br4 0.5000 0.5000 0.5000 1
Br5 0.5776 0.9440 0.7500 1
Br6 0.9440 0.5776 0.2500 1
```

3.
A relaxed structure of BaReSn2. Source: Alexandria, functional GGA-PBE.

**Size of the total moment**: 0.000 μB/atom
**Energy of formation**: 0.29 eV/atom
**Space-group type**: I4_1/amd (141)
**Volume**: 149.7 Å³/f.u.
**D(E_F)**: 4.34 states/eV/f.u.

```
data_BaReSn2
_cell_length_a 5.9994
_cell_length_b 5.9994
_cell_length_c 16.6352
_cell_angle_alpha 90.00
_cell_angle_beta 90.00
_cell_angle_gamma 90.00
_symmetry_space_group_name_H-M 'P 1'
_symmetry_Int_Tables_number 1
loop_
_symmetry_equiv_pos_as_xyz
'x,y,z'
loop_
_atom_site_label
_atom_site_fract_x
_atom_site_fract_y
_atom_site_fract_z
_atom_site_occupancy
Ba1 0.0000 0.2500 0.3750 1
Ba2 0.0000 0.7500 0.6250 1
Ba3 0.5000 0.2500 0.1250 1
Ba4 0.5000 0.7500 0.8750 1
Re1 0.0000 0.2500 0.8750 1
Re2 0.0000 0.7500 0.1250 1
Re3 0.5000 0.2500 0.6250 1
Re4 0.5000 0.7500 0.3750 1
Sn1 0.0000 0.0000 0.0000 1
Sn2 0.0000 0.5000 0.0000 1
Sn3 0.2500 0.2500 0.7500 1
Sn4 0.2500 0.7500 0.2500 1
Sn5 0.5000 0.0000 0.5000 1
Sn6 0.5000 0.5000 0.5000 1
Sn7 0.7500 0.2500 0.7500 1
Sn8 0.7500 0.7500 0.2500 1
```